(1)
Here is a relaxed structure of Li2NdZn2Au2 from the Alexandria database. Energies are from PBE-GGA.

Results
E_form, meV per atom: -501.0
Volume, Å³ per cell: 270.0
Magnetic moment, μB/f.u.: 0.0

Structure (CIF):
```
data_Li2NdZn2Au2
_cell_length_a 7.8592
_cell_length_b 4.5396
_cell_length_c 8.0243
_cell_angle_alpha 90.00
_cell_angle_beta 109.43
_cell_angle_gamma 90.00
_symmetry_space_group_name_H-M 'C 1 2/m 1'
_symmetry_Int_Tables_number 12
loop_
_symmetry_equiv_pos_as_xyz
'x,y,z'
'-x,-y,-z'
'-x,y,-z'
'x,-y,z'
'x+1/2,y+1/2,z'
'-x+1/2,-y+1/2,-z'
'-x+1/2,y+1/2,-z'
'x+1/2,-y+1/2,z'
loop_
_atom_site_label
_atom_site_type_symbol
_atom_site_fract_x
_atom_site_fract_y
_atom_site_fract_z
_atom_site_occupancy
Li1 Li 0.1409 0.0000 0.4207 1
Nd1 Nd 0.0000 0.0000 0.0000 1
Zn1 Zn 0.0733 0.5000 0.7224 1
Au1 Au 0.2463 0.5000 0.2363 1
```

---

(2)
Here is a relaxed structure of AcCeY2 from the Alexandria database. Energies are from PBE-GGA.

Results
E_form, meV per atom: 104.7
Volume, Å³ per cell: 415.7
Magnetic moment, μB/f.u.: 0.8
Energy above the most stable polymorph in this dataset, meV/atom: 12

Structure (CIF):
```
data_AcCeY2
_cell_length_a 3.6759
_cell_length_b 3.6759
_cell_length_c 35.5278
_cell_angle_alpha 90.00
_cell_angle_beta 90.00
_cell_angle_gamma 120.00
_symmetry_space_group_name_H-M 'R 3 m'
_symmetry_Int_Tables_number 160
_symmetry_space_group_name_Hall 'R 3 -2"'
loop_
_atom_site_label
_atom_site_type_symbol
_atom_site_fract_x
_atom_site_fract_y
_atom_site_fract_z
_atom_site_occupancy
Ac1 Ac 0.0000 0.0000 0.0000 1
Ce1 Ce 0.0000 0.0000 0.8340 1
Y1 Y 0.0000 0.0000 0.2459 1
Y2 Y 0.0000 0.0000 0.4218 1
```

---

(3)
Here is a relaxed structure of Ir2WBr from the Alexandria database. Energies are from PBE-GGA.

Results
Volume, Å³ per cell: 164.8
Raw formation energy, eV per atom: 0.62
Magnetic moment, μB/f.u.: 0.0
Energy above the most stable polymorph in this dataset, meV/atom: 365

Structure (CIF):
```
data_Ir2WBr
_cell_length_a 2.8470
_cell_length_b 4.2048
_cell_length_c 13.7644
_cell_angle_alpha 90.00
_cell_angle_beta 90.00
_cell_angle_gamma 90.00
_symmetry_space_group_name_H-M 'I m m 2'
_symmetry_Int_Tables_number 44
loop_
_symmetry_equiv_pos_as_xyz
'x,y,z'
'-x,-y,z'
'-x,y,z'
'x,-y,z'
'x+1/2,y+1/2,z+1/2'
'-x+1/2,-y+1/2,z+1/2'
'-x+1/2,y+1/2,z+1/2'
'x+1/2,-y+1/2,z+1/2'
loop_
_atom_site_label
_atom_site_type_symbol
_atom_site_fract_x
_atom_site_fract_y
_atom_site_fract_z
_atom_site_occupancy
Ir1 Ir 0.0000 0.0000 0.0000 1
Ir2 Ir 0.0000 0.5000 0.1044 1
W1 W 0.0000 0.5000 0.6690 1
Br1 Br 0.0000 0.0000 0.3256 1
```

---

(4)
Here is a relaxed structure of La2Y3HoBi6 from the Alexandria database. Energies are from PBE-GGA.

Results
E_form, meV per atom: -933.9
Volume, Å³ per cell: 802.2
Magnetic moment, μB/f.u.: 0.0

Structure (CIF):
```
data_La2Y3HoBi6
_cell_length_a 7.8945
_cell_length_b 13.6788
_cell_length_c 7.8824
_cell_angle_alpha 90.00
_cell_angle_beta 109.54
_cell_angle_gamma 90.00
_symmetry_space_group_name_H-M 'C 1 2/m 1'
_symmetry_Int_Tables_number 12
loop_
_symmetry_equiv_pos_as_xyz
'x,y,z'
'-x,-y,-z'
'-x,y,-z'
'x,-y,z'
'x+1/2,y+1/2,z'
'-x+1/2,-y+1/2,-z'
'-x+1/2,y+1/2,-z'
'x+1/2,-y+1/2,z'
loop_
_atom_site_label
_atom_site_type_symbol
_atom_site_fract_x
_atom_site_fract_y
_atom_site_fract_z
_atom_site_occupancy
La1 La 0.0000 0.1654 0.0000 1
Y1 Y 0.0000 0.0000 0.5000 1
Y2 Y 0.0000 0.3299 0.5000 1
Ho1 Ho 0.0000 0.5000 0.0000 1
Bi1 Bi 0.2382 0.5000 0.7401 1
Bi2 Bi 0.2479 0.3371 0.2564 1
```

---

(5)
Here is a relaxed structure of BH11AuC4IN2 from the Alexandria database. Energies are from PBE-GGA.

Results
Volume, Å³ per cell: 544.9
Energy, hartree per atom: -0.193
Magnetic moment, μB/f.u.: 0.0

Structure (CIF):
```
data_BH11AuC4IN2
_cell_length_a 6.2733
_cell_length_b 9.7915
_cell_length_c 10.2510
_cell_angle_alpha 62.08
_cell_angle_beta 80.03
_cell_angle_gamma 80.04
_symmetry_space_group_name_H-M 'P -1'
_symmetry_Int_Tables_number 2
loop_
_symmetry_equiv_pos_as_xyz
'x,y,z'
'-x,-y,-z'
loop_
_atom_site_label
_atom_site_type_symbol
_atom_site_fract_x
_atom_site_fract_y
_atom_site_fract_z
_atom_site_occupancy
B1 B 0.1041 0.2075 0.2387 1
H1 H 0.0136 0.9792 0.1893 1
H2 H 0.0437 0.1510 0.0163 1
H3 H 0.1186 0.6002 0.0041 1
H4 H 0.1832 0.0781 0.3178 1
H5 H 0.1946 0.0009 0.5956 1
H6 H 0.2171 0.9237 0.9142 1
H7 H 0.2182 0.2734 0.1240 1
H8 H 0.2718 0.5824 0.8469 1
H9 H 0.3181 0.8157 0.6105 1
H10 H 0.3792 0.6727 0.9354 1
H11 H 0.4226 0.9048 0.7013 1
Au1 Au 0.0000 0.5000 0.5000 1
Au2 Au 0.5000 0.5000 0.5000 1
C1 C 0.0402 0.3762 0.3887 1
C2 C 0.0671 0.9079 0.8838 1
C3 C 0.2307 0.6555 0.9043 1
C4 C 0.2753 0.8882 0.6685 1
I1 I 0.4853 0.2705 0.7676 1
N1 N 0.0608 0.3036 0.3229 1
N2 N 0.1220 0.8098 0.8039 1
```

---

(6)
Here is a relaxed structure of Cr2SiPAu from the Alexandria database. Energies are from PBE-GGA.

Results
Volume, Å³ per cell: 151.1
Raw formation energy, eV per atom: 0.03
Magnetic moment, μB/f.u.: 0.0
Energy above the most stable polymorph in this dataset, meV/atom: 138

Structure (CIF):
```
data_Cr2SiPAu
_cell_length_a 6.7698
_cell_length_b 3.7346
_cell_length_c 6.6065
_cell_angle_alpha 90.00
_cell_angle_beta 115.26
_cell_angle_gamma 90.00
_symmetry_space_group_name_H-M 'C 1 m 1'
_symmetry_Int_Tables_number 8
loop_
_symmetry_equiv_pos_as_xyz
'x,y,z'
'x,-y,z'
'x+1/2,y+1/2,z'
'x+1/2,-y+1/2,z'
loop_
_atom_site_label
_atom_site_type_symbol
_atom_site_fract_x
_atom_site_fract_y
_atom_site_fract_z
_atom_site_occupancy
Cr1 Cr 0.0000 0.0000 0.0000 1
Cr2 Cr 0.2160 0.5000 0.1053 1
Si1 Si 0.4696 0.0000 0.2943 1
P1 P 0.2680 0.0000 0.8630 1
Au1 Au 0.3859 0.5000 0.5482 1
```

---

(7)
Here is a relaxed structure of La4Nd3Zn from the Alexandria database. Energies are from PBE-GGA.

Results
E_form, meV per atom: -67.1
Volume, Å³ per cell: 271.9
Magnetic moment, μB/f.u.: 0.0

Structure (CIF):
```
data_La4Nd3Zn
_cell_length_a 3.7502
_cell_length_b 3.7502
_cell_length_c 19.3333
_cell_angle_alpha 90.00
_cell_angle_beta 90.00
_cell_angle_gamma 90.00
_symmetry_space_group_name_H-M 'P 4/m m m'
_symmetry_Int_Tables_number 123
_symmetry_space_group_name_Hall '-P 4 2'
loop_
_atom_site_label
_atom_site_type_symbol
_atom_site_fract_x
_atom_site_fract_y
_atom_site_fract_z
_atom_site_occupancy
La1 La 0.0000 0.0000 0.0959 1
La2 La 0.0000 0.0000 0.3658 1
Nd1 Nd 0.5000 0.5000 0.2337 1
Nd2 Nd 0.5000 0.5000 0.5000 1
Zn1 Zn 0.5000 0.5000 0.0000 1
```

---

(8)
Here is a relaxed structure of K2AcScO4 from the Alexandria database. Energies are from PBE-GGA.

Results
Volume, Å³ per cell: 138.5
Raw formation energy, eV per atom: -2.55
Magnetic moment, μB/f.u.: 0.0

Structure (CIF):
```
data_K2AcScO4
_cell_length_a 6.1949
_cell_length_b 3.5706
_cell_length_c 6.5962
_cell_angle_alpha 90.00
_cell_angle_beta 108.38
_cell_angle_gamma 90.00
_symmetry_space_group_name_H-M 'P 1 2/m 1'
_symmetry_Int_Tables_number 10
loop_
_symmetry_equiv_pos_as_xyz
'x,y,z'
'-x,-y,-z'
'-x,y,-z'
'x,-y,z'
loop_
_atom_site_label
_atom_site_type_symbol
_atom_site_fract_x
_atom_site_fract_y
_atom_site_fract_z
_atom_site_occupancy
K1 K 0.0000 0.0000 0.0000 1
K2 K 0.5000 0.5000 0.0000 1
Ac1 Ac 0.0000 0.5000 0.5000 1
Sc1 Sc 0.5000 0.0000 0.5000 1
O1 O 0.2698 0.0000 0.6862 1
O2 O 0.2937 0.5000 0.3156 1
```

---

- Look up the magnetic moment of the third one.
  0.0 μB/f.u.